Entry 1:
Computed, not measured: a geometry-optimized PmTh2Cu2Ge2 structure at the GGA-PBE level of DFT.

The electronic total energy is -0.420 Ry/atom. Its size of the total moment is 0.0000 μB per atom. For the density of states at the Fermi level, the calculation gives 6.05 states/eV/f.u. Its calculated formation energy is -0.43 eV/atom. For the mass density, the calculation gives 8.932 g/cm³.

The space group is R-3m (No. 166, hexagonal axes) and the conventional cell measures 4.1251, 4.1251 and 33.3587 Å, with angles of 90.00, 90.00 and 120.00 degrees. The inequivalent atoms are Pm at (0.0000, 0.0000, 0.0000), Th at (0.0000, 0.0000, 0.1237), Cu at (0.0000, 0.0000, 0.3998) and Ge at (0.0000, 0.0000, 0.2732).

***

Entry 2:
Computed, not measured: a geometry-optimized PmThCuGe structure at the GGA-PBE level of DFT.

The electronic total energy is -0.411 Ry/atom. Its size of the total moment is 0.0000 μB per atom. For the density of states at the Fermi level, the calculation gives 3.33 states/eV/f.u. Its calculated formation energy is -0.37 eV/atom. For the mass density, the calculation gives 8.971 g/cm³.

The space group is F-43m (No. 216) and the conventional cell measures 7.243, 7.243 and 7.243 Å, with angles of 90.00, 90.00 and 90.00 degrees. The inequivalent atoms are Pm at (0.000, 0.000, 0.000), Th at (0.000, 0.000, 0.500), Cu at (0.250, 0.250, 0.250) and Ge at (0.250, 0.250, 0.750).

***

Entry 3:
Computed, not measured: a geometry-optimized PmThCu2Ge2 structure at the GGA-PBE level of DFT.

The electronic total energy is -0.410 Ry/atom. Its size of the total moment is 0.0000 μB per atom. For the density of states at the Fermi level, the calculation gives 3.72 states/eV/f.u. Its calculated formation energy is -0.65 eV/atom. For the mass density, the calculation gives 8.617 g/cm³.

The space group is P-3m1 (No. 164) and the conventional cell measures 4.2375, 4.2375 and 8.0477 Å, with angles of 90.00, 90.00 and 120.00 degrees. The inequivalent atoms are Pm at (0.0000, 0.0000, 0.0000), Th at (0.0000, 0.0000, 0.5000), Cu at (0.3333, 0.6667, 0.7439) and Ge at (0.3333, 0.6667, 0.2468).

***

Entry 4:
Computed, not measured: a geometry-optimized Pm2ThCu2Ge2 structure at the GGA-PBE level of DFT.

The electronic total energy is -0.396 Ry/atom. Its size of the total moment is 0.0000 μB per atom. For the density of states at the Fermi level, the calculation gives 8.05 states/eV/f.u. Its calculated formation energy is -0.47 eV/atom. For the mass density, the calculation gives 7.932 g/cm³.

The space group is R-3m (No. 166, hexagonal axes) and the conventional cell measures 4.1998, 4.1998 and 32.6615 Å, with angles of 90.00, 90.00 and 120.00 degrees. The inequivalent atoms are Pm at (0.0000, 0.0000, 0.1221), Th at (0.0000, 0.0000, 0.0000), Cu at (0.0000, 0.0000, 0.3915) and Ge at (0.0000, 0.0000, 0.2677).

***

Entry 5:
Computed, not measured: a geometry-optimized Pm2TiCu3Ge4 structure at the GGA-PBE level of DFT.

The electronic total energy is -0.393 Ry/atom. Its size of the total moment is 0.0000 μB per atom. For the density of states at the Fermi level, the calculation gives 5.60 states/eV/f.u. Its calculated formation energy is -0.53 eV/atom. For the mass density, the calculation gives 7.387 g/cm³.

The space group is P-4m2 (No. 115) and the conventional cell measures 4.181, 4.181 and 10.533 Å, with angles of 90.00, 90.00 and 90.00 degrees. The inequivalent atoms are Pm at (0.000, 0.500, 0.238), Ti at (0.000, 0.000, 0.500), Cu at (0.000, 0.500, 0.872), Cu at (0.500, 0.500, 0.500), Ge at (0.000, 0.000, 0.000), Ge at (0.000, 0.500, 0.642) and Ge at (0.500, 0.500, 0.000).

***

Entry 6:
Computed, not measured: a geometry-optimized PmTmCuGe structure at the GGA-PBE level of DFT.

The electronic total energy is -0.364 Ry/atom. Its size of the total moment is 0.0000 μB per atom. For the density of states at the Fermi level, the calculation gives 3.09 states/eV/f.u. Its calculated formation energy is -0.47 eV/atom. For the mass density, the calculation gives 8.421 g/cm³.

The space group is F-43m (No. 216) and the conventional cell measures 7.081, 7.081 and 7.081 Å, with angles of 90.00, 90.00 and 90.00 degrees. The inequivalent atoms are Pm at (0.000, 0.000, 0.000), Tm at (0.000, 0.000, 0.500), Cu at (0.250, 0.250, 0.250) and Ge at (0.250, 0.250, 0.750).

***

Entry 7:
Computed, not measured: a geometry-optimized PmTm2Cu2Ge2 structure at the GGA-PBE level of DFT.

The electronic total energy is -0.362 Ry/atom. Its size of the total moment is 0.0000 μB per atom. For the density of states at the Fermi level, the calculation gives 3.38 states/eV/f.u. Its calculated formation energy is -0.49 eV/atom. For the mass density, the calculation gives 8.507 g/cm³.

The space group is R-3m (No. 166, hexagonal axes) and the conventional cell measures 4.3072, 4.3072 and 27.5276 Å, with angles of 90.00, 90.00 and 120.00 degrees. The inequivalent atoms are Pm at (0.0000, 0.0000, 0.0000), Tm at (0.0000, 0.0000, 0.1277), Cu at (0.0000, 0.0000, 0.4052) and Ge at (0.0000, 0.0000, 0.2596).

***

Entry 8:
Computed, not measured: a geometry-optimized Pm2TmCu3Ge4 structure at the GGA-PBE level of DFT.

The electronic total energy is -0.368 Ry/atom. Its size of the total moment is 0.0000 μB per atom. For the density of states at the Fermi level, the calculation gives 2.32 states/eV/f.u. Its calculated formation energy is -0.53 eV/atom. For the mass density, the calculation gives 7.875 g/cm³.

The space group is P-4m2 (No. 115) and the conventional cell measures 4.279, 4.279 and 10.825 Å, with angles of 90.00, 90.00 and 90.00 degrees. The inequivalent atoms are Pm at (0.000, 0.500, 0.225), Tm at (0.000, 0.000, 0.500), Cu at (0.000, 0.500, 0.882), Cu at (0.500, 0.500, 0.500), Ge at (0.000, 0.000, 0.000), Ge at (0.000, 0.500, 0.660) and Ge at (0.500, 0.500, 0.000).